{"formula": "BaLiTl2", "functional": "PBE", "state": "relaxed", "ef_mev_per_atom": -160.5, "total_magnetization_mub_per_fu": 0.00, "lattice_angstrom": [[-0.1944, -0.8502, -4.6596], [6.3679, -0.8160, -0.1168], [-3.7074, -3.7902, 0.8462]], "species": ["Ba", "Li", "Tl", "Tl"], "fractional_positions": [[0.5000, 0.5000, 0.0000], [0.5000, 0.0000, 0.0000], [0.0001, 0.8164, 0.6328], [0.9999, 0.1836, 0.3672]]}